CaAc2In12Pt3 PBE relaxed; Fermi-level density of states = 13.886 states/eV/cell; total energy = -64.3 eV/f.u.; space group = R-3m; E_form = -0.172 eV per atom
1.0
8.815 -0.436 -0.309
3.974 7.880 -0.309
3.974 2.313 7.539
Ca Ac In Pt
1 2 12 3
Cartesian
0.000 0.000 0.000 Ca
9.794 5.701 4.044 Ac
6.969 4.056 2.877 Ac
6.891 4.011 6.288 In
12.468 7.257 2.923 In
10.642 8.294 5.883 In
9.717 2.407 1.707 In
12.468 5.158 5.883 In
6.891 7.261 1.707 In
9.872 5.746 0.633 In
4.296 2.500 3.997 In
6.121 1.464 1.038 In
7.046 7.351 5.214 In
4.296 4.599 1.038 In
9.872 2.497 5.214 In
4.407 -0.218 -0.155 Pt
1.987 3.940 -0.155 Pt
1.987 1.157 3.770 Pt